# BaTeBr2

A PBEsol-optimized structure of BaTeBr2 (SCAN, the Alexandria database).

Geometry as CIF:
```
data_BaTeBr2
_symmetry_space_group_name_H-M 'P 4/m m m'
_symmetry_Int_Tables_number 123
_symmetry_space_group_name_Hall '-P 4 2'
_cell_length_a 3.7403
_cell_length_b 3.7403
_cell_length_c 10.4171
_cell_angle_alpha 90.00
_cell_angle_beta 90.00
_cell_angle_gamma 90.00
loop_
_atom_site_label
_atom_site_type_symbol
_atom_site_fract_x
_atom_site_fract_y
_atom_site_fract_z
_atom_site_occupancy
Ba1 Ba 0.0000 0.0000 0.0000 1
Te1 Te 0.0000 0.0000 0.5000 1
Br1 Br 0.5000 0.5000 0.1781 1
```

Computed properties:
- ΔE_f (raw): -1.26 eV per atom
- Fermi-level density of states: 2.33 states/eV per cell
- Uncorrected energy: -30.186 eV/atom
- Relative energy among the computed polymorphs: 98 kJ/mol of formula units